Model a:
Compound: Sr2LiTa2N2O4
Source: Alexandria via LeMat-Bulk
Functional: PBE-GGA
Structure: relaxed

Output
Magnetic moment: 0.00 μB/f.u.
D(E_F): 2.4 states/eV/f.u.

a = 8.2441 Å, b = 8.1219 Å, c = 5.8932 Å
α = 90.00°, β = 134.27°, γ = 90.00°
Space group C2/m (No. 12)
Symmetry-distinct sites (fractional):
Sr1 0.1997 0.0000 0.4079 (multiplicity 4)
Li1 0.0000 0.5000 0.0000 (multiplicity 2)
Ta1 0.2500 0.2500 0.0000 (multiplicity 4)
N1 0.0000 0.2514 0.0000 (multiplicity 4)
O1 0.0000 0.2338 0.5000 (multiplicity 4)
O2 0.2328 0.5000 0.9719 (multiplicity 4)

Model b:
Compound: Sr2LiTa2N2O4
Source: Alexandria via LeMat-Bulk
Functional: PBE-GGA
Structure: relaxed

Output
Magnetic moment: 0.00 μB/f.u.
D(E_F): 1.6 states/eV/f.u.

a = 8.1613 Å, b = 8.4715 Å, c = 8.1821 Å
α = 90.00°, β = 90.00°, γ = 90.00°
Space group Fmm2 (No. 42)
Symmetry-distinct sites (fractional):
Sr1 0.0000 0.2118 0.0000 (multiplicity 8)
Li1 0.0000 0.0000 0.4345 (multiplicity 4)
Ta1 0.2438 0.0000 0.7339 (multiplicity 8)
N1 0.2500 0.2500 0.2336 (multiplicity 8)
O1 0.0000 0.0000 0.2090 (multiplicity 4)
O2 0.0000 0.0000 0.7632 (multiplicity 4)
O3 0.2205 0.0000 0.4841 (multiplicity 8)

Result of the stability comparison: model a is the most stable of them.

Model a:
Compound: Li3OsN2
Source: Alexandria via LeMat-Bulk
Functional: PBE-GGA
Structure: relaxed

Output
Magnetic moment: 0.00 μB/f.u.

a = 6.6986 Å, b = 8.0093 Å, c = 8.6327 Å
α = 90.00°, β = 127.37°, γ = 90.00°
Space group P2_1/c (No. 14)
Symmetry-distinct sites (fractional):
Li1 0.0885 0.1047 0.3469 (multiplicity 4)
Li2 0.2090 0.0407 0.0203 (multiplicity 4)
Li3 0.3253 0.6828 0.1317 (multiplicity 4)
Os1 0.2109 0.1641 0.7032 (multiplicity 4)
N1 0.0143 0.6766 0.4332 (multiplicity 4)
N2 0.4348 0.0277 0.9124 (multiplicity 4)

Model b:
Compound: Li3OsN2
Source: Alexandria via LeMat-Bulk
Functional: PBE-GGA
Structure: relaxed

Output
Magnetic moment: 0.00 μB/f.u.
D(E_F): 1.0 states/eV/f.u.

a = 7.1419 Å, b = 6.6576 Å, c = 5.9253 Å
α = 90.00°, β = 90.00°, γ = 90.00°
Space group Cmcm (No. 63)
Symmetry-distinct sites (fractional):
Li1 0.0000 0.2337 0.2500 (multiplicity 4)
Li2 0.2010 0.5000 0.0000 (multiplicity 8)
Os1 0.0000 0.1798 0.7500 (multiplicity 4)
N1 0.0000 0.0000 0.0000 (multiplicity 4)
N2 0.0000 0.4534 0.7500 (multiplicity 4)

Result of the stability comparison: model b is the most stable of them.

Model a:
Compound: LiOsS2N
Source: Alexandria via LeMat-Bulk
Functional: PBE-GGA
Structure: relaxed

Output
Magnetic moment: 0.95 μB/f.u.
D(E_F): 4.1 states/eV/f.u.

a = 4.3980 Å, b = 4.3980 Å, c = 3.2824 Å
α = 90.00°, β = 90.00°, γ = 90.00°
Space group P4/mmm (No. 123)
Symmetry-distinct sites (fractional):
Li1 0.0000 0.0000 0.0000 (multiplicity 1)
Os1 0.5000 0.5000 0.5000 (multiplicity 1)
S1 0.0000 0.5000 0.0000 (multiplicity 2)
N1 0.0000 0.0000 0.5000 (multiplicity 1)

Model b:
Compound: LiOsS2N
Source: Alexandria via LeMat-Bulk
Functional: PBE-GGA
Structure: relaxed

Output
Magnetic moment: 1.09 μB/f.u.
D(E_F): 3.7 states/eV/f.u.

a = 4.8592 Å, b = 4.8592 Å, c = 3.6934 Å
α = 90.00°, β = 90.00°, γ = 90.00°
Space group P4/mmm (No. 123)
Symmetry-distinct sites (fractional):
Li1 0.0000 0.0000 0.0000 (multiplicity 1)
Os1 0.5000 0.5000 0.5000 (multiplicity 1)
S1 0.0000 0.5000 0.5000 (multiplicity 2)
N1 0.5000 0.5000 0.0000 (multiplicity 1)

Result of the stability comparison: model b is the most stable of them.

Model a:
Compound: LiTa2OsN
Source: Alexandria via LeMat-Bulk
Functional: PBE-GGA
Structure: relaxed

Output
Magnetic moment: 0.00 μB/f.u.
D(E_F): 1.6 states/eV/f.u.

a = 4.2667 Å, b = 4.2667 Å, c = 3.6592 Å
α = 90.00°, β = 90.00°, γ = 90.00°
Space group P4/mmm (No. 123)
Symmetry-distinct sites (fractional):
Li1 0.0000 0.0000 0.0000 (multiplicity 1)
Ta1 0.0000 0.5000 0.5000 (multiplicity 2)
Os1 0.5000 0.5000 0.0000 (multiplicity 1)
N1 0.0000 0.0000 0.5000 (multiplicity 1)

Model b:
Compound: LiTa2OsN
Source: Alexandria via LeMat-Bulk
Functional: PBE-GGA
Structure: relaxed

Output
Magnetic moment: 0.00 μB/f.u.
D(E_F): 3.3 states/eV/f.u.

a = 4.2179 Å, b = 4.2179 Å, c = 4.0270 Å
α = 90.00°, β = 90.00°, γ = 90.00°
Space group P4/mmm (No. 123)
Symmetry-distinct sites (fractional):
Li1 0.0000 0.0000 0.0000 (multiplicity 1)
Ta1 0.0000 0.5000 0.5000 (multiplicity 2)
Os1 0.5000 0.5000 0.0000 (multiplicity 1)
N1 0.5000 0.5000 0.5000 (multiplicity 1)

Result of the stability comparison: model a is the most stable of them.